First-principles (PBE) data for a geometry-optimized DyInHg4 structure, as listed in Alexandria via LeMat-Bulk.

a = 6.0235 Å, b = 6.0235 Å, c = 6.0235 Å
α = 60.00°, β = 60.00°, γ = 60.00°
Closest atoms and distances in Å follow each position.
Positions (direct):
Hg1 0.6248 0.6248 0.1256  6 Hg 3.01-3.02
In1 0.0000 0.0000 0.0000  12 Hg 3.53, 4 Dy 3.69
Hg2 0.6248 0.6248 0.6248  6 Hg 3.01-3.02
Hg3 0.6248 0.1256 0.6248  6 Hg 3.01-3.02
Hg4 0.1256 0.6248 0.6248  6 Hg 3.01-3.02
Dy1 0.2500 0.2500 0.2500  12 Hg 3.53, 4 In 3.69

Values from the calculation:
* VASP energy: -1.46 eV per atom
* Fermi-level density of states: 0.691 states/eV/atom
* offset from the most stable computed form: 0.1314 eV per atom
* calculated formation energy: -0.038 eV/atom
* total magnetization: 0.0 μB/f.u.